Record 1
Material: PmLuPuTh
Method: DFT, PBE-GGA
State: relaxed

abc: 5.5803 5.5803 5.5803
angles: 60.00 60.00 60.00
Last column: nearest neighbours and their distance in Å.
Positions (direct):
Lu 0.2500 0.2500 0.2500  4 Pm 3.42, 4 Th 3.42
Pm 0.0000 0.0000 0.0000  4 Pu 3.42, 4 Lu 3.42
Th 0.5000 0.5000 0.5000  4 Lu 3.42, 4 Pu 3.42
Pu 0.7500 0.7500 0.7500  4 Th 3.42, 4 Pm 3.42

Computed properties:
Crystal system   cubic
DFT formation energy   0.20 eV/atom


Record 2
Material: CsYB2Sb
Method: DFT, PBE-GGA
State: relaxed

abc: 4.8810 5.7303 4.8810
angles: 90.00 90.00 90.00
Last column: nearest neighbours and their distance in Å.
Positions (direct):
Cs 0.5000 0.5000 0.5000  4 Y 3.45, 8 B 3.76
Sb 0.0000 0.0000 0.0000  4 B 2.44
B 0.0000 0.0000 0.5000  2 Sb 2.44
B 0.5000 0.0000 0.0000  2 Sb 2.44
Y 0.0000 0.5000 0.0000  2 Sb 2.87

Computed properties:
Relative energy among the computed polymorphs   0 meV/atom
Formation energy from raw total energies   145.6 kJ per mole of atoms
Crystal system   tetragonal


Record 3
Material: LiCuSn
Method: DFT, PBE-GGA
State: relaxed

abc: 3.4475 3.4475 4.8764
angles: 110.70 110.70 90.00
Last column: nearest neighbours and their distance in Å.
Positions (direct):
Sn 0.2870 0.2870 0.5740  5 Li 2.71-2.87, 5 Cu 2.81-2.82
Cu 0.9549 0.9549 0.9098  5 Li 2.76-2.93, 5 Sn 2.81-2.82
Li 0.6081 0.6081 0.2162  5 Sn 2.71-2.87, 5 Cu 2.76-2.93

Computed properties:
Crystal system   tetragonal
DFT formation energy   -0.15 eV/atom


Record 4
Material: LiCoP
Method: DFT, PBE-GGA
State: relaxed

abc: 2.8021 2.8021 5.8225
angles: 90.00 90.00 120.00
Last column: nearest neighbours and their distance in Å.
Positions (direct):
Co 0.0000 0.0000 0.9589  3 P 2.19
Li 0.3333 0.6667 0.3363  3 P 2.69, 3 Co 2.73, 6 Li 2.80
P 0.6667 0.3333 0.7048  3 Co 2.19

Computed properties:
Crystal system   trigonal
DFT formation energy   -0.13 eV/atom